First-principles (PBE) data for a geometry-optimized La2Pr2Sn3 structure, as listed in Alexandria via LeMat-Bulk.

Magnetic moment ... 0.0 μB/f.u.
Formation enthalpy at 0 K ... -610 meV/atom
N(E_F) ... 0.81 states/eV/atom

Unit cell a=5.5016 b=5.5201 c=9.5648 alpha=106.85 beta=90.00 gamma=119.95
Positions (direct):
1 La 0.6277 0.2552 0.8811
2 La 0.3723 0.7448 0.1189
3 Pr 0.8805 0.7605 0.6380
4 Pr 0.1195 0.2395 0.3620
5 Sn 0.0000 0.0000 0.0000
6 Sn 0.7593 0.5185 0.2803
7 Sn 0.2407 0.4815 0.7197